1.
This record from Alexandria describes a geometry-optimized KLa2Ta structure. The functional is PBEsol.

Lattice parameters (Å, degrees): 3.307 5.610 6.217 90.00 90.00 90.00
Positions (direct):
K 0.000 0.000 0.000
La 0.000 0.500 0.500
La 0.500 0.500 0.000
Ta 0.500 0.000 0.500

Energy of formation from the pure elements (eV per atom): 1.090
Total magnetic moment (μB per formula unit): 0.00
Energy (eV/atom): -5.00
Crystal system: orthorhombic
D(E_F) (states/eV per cell): 5.5
Mass density (Mg/m³): 7.17

---

2.
This record from Alexandria describes a geometry-optimized Ca2ZrI structure. The functional is PBEsol.

Lattice parameters (Å, degrees): 7.903 7.903 7.903 90.00 90.00 90.00
Positions (direct):
Ca 0.250 0.250 0.250
Ca 0.250 0.250 0.750
Ca 0.250 0.750 0.250
Ca 0.250 0.750 0.750
Ca 0.750 0.250 0.250
Ca 0.750 0.250 0.750
Ca 0.750 0.750 0.250
Ca 0.750 0.750 0.750
Zr 0.000 0.000 0.000
Zr 0.000 0.500 0.500
Zr 0.500 0.000 0.500
Zr 0.500 0.500 0.000
I 0.000 0.000 0.500
I 0.000 0.500 0.000
I 0.500 0.000 0.000
I 0.500 0.500 0.500

Total magnetic moment (μB per formula unit): 3.89
Energy (eV/atom): -3.48
Crystal system: cubic
D(E_F) (states/eV per cell): 16.9
Mass density (Mg/m³): 4.01
Formation energy from raw total energies (eV per atom): 0.298